(1)
Material: La2SnC2
Method: DFT, GGA-PBE
State: optimized geometry

Cell and atoms, written as CIF:
```
data_La2SnC2
_chemical_formula_sum 'La4 Sn2 C4'
_cell_length_a 7.842
_cell_length_b 7.842
_cell_length_c 3.312
_cell_angle_alpha 90.00
_cell_angle_beta 90.00
_cell_angle_gamma 90.00
_symmetry_space_group_name_H-M 'P 4/m b m'
_symmetry_Int_Tables_number 127
_symmetry_space_group_name_Hall '-P 4 2ab'
loop_
_atom_site_label
_atom_site_type_symbol
_atom_site_fract_x
_atom_site_fract_y
_atom_site_fract_z
_atom_site_occupancy
La1 La 0.138 0.362 0.000 1
Sn1 Sn 0.000 0.000 0.000 1
C1 C 0.168 0.668 0.500 1
```

Results
crystal system	tetragonal
calculated volume	203.7	Å³/cell

(2)
Material: La2SnC2
Method: DFT, GGA-PBE
State: optimized geometry

Cell and atoms, written as CIF:
```
data_La2SnC2
_chemical_formula_sum 'La4 Sn2 C4'
_cell_length_a 4.457
_cell_length_b 4.457
_cell_length_c 11.804
_cell_angle_alpha 90.00
_cell_angle_beta 90.00
_cell_angle_gamma 90.00
_symmetry_space_group_name_H-M 'I 4/m m m'
_symmetry_Int_Tables_number 139
_symmetry_space_group_name_Hall '-I 4 2'
loop_
_atom_site_label
_atom_site_type_symbol
_atom_site_fract_x
_atom_site_fract_y
_atom_site_fract_z
_atom_site_occupancy
La1 La 0.000 0.000 0.158 1
Sn1 Sn 0.000 0.000 0.500 1
C1 C 0.000 0.500 0.250 1
```

Results
crystal system	tetragonal
calculated volume	234.4	Å³/cell

Which one is most stable, and which one is least stable? (2) is the most stable of them, while (1) is the least stable.

(1)
Material: SrLaC2
Method: DFT, GGA-PBE
State: optimized geometry

Cell and atoms, written as CIF:
```
data_SrLaC2
_chemical_formula_sum 'Sr4 La4 C8'
_cell_length_a 6.731
_cell_length_b 6.731
_cell_length_c 7.937
_cell_angle_alpha 90.00
_cell_angle_beta 90.00
_cell_angle_gamma 90.00
_symmetry_space_group_name_H-M 'I -4 2 d'
_symmetry_Int_Tables_number 122
_symmetry_space_group_name_Hall 'I -4 2bw'
loop_
_atom_site_label
_atom_site_type_symbol
_atom_site_fract_x
_atom_site_fract_y
_atom_site_fract_z
_atom_site_occupancy
Sr1 Sr 0.000 0.000 0.000 1
La1 La 0.000 0.000 0.500 1
C1 C 0.219 0.250 0.625 1
```

Results
crystal system	tetragonal
calculated volume	359.5	Å³/cell

(2)
Material: SrLaC2
Method: DFT, GGA-PBE
State: optimized geometry

Cell and atoms, written as CIF:
```
data_SrLaC2
_chemical_formula_sum 'Sr4 La4 C8'
_cell_length_a 6.614
_cell_length_b 6.614
_cell_length_c 6.614
_cell_angle_alpha 90.00
_cell_angle_beta 90.00
_cell_angle_gamma 90.00
_symmetry_space_group_name_H-M 'F m -3 m'
_symmetry_Int_Tables_number 225
_symmetry_space_group_name_Hall '-F 4 2 3'
loop_
_atom_site_label
_atom_site_type_symbol
_atom_site_fract_x
_atom_site_fract_y
_atom_site_fract_z
_atom_site_occupancy
Sr1 Sr 0.000 0.000 0.000 1
La1 La 0.000 0.000 0.500 1
C1 C 0.250 0.250 0.250 1
```

Results
crystal system	cubic
calculated volume	289.3	Å³/cell

Which one is most stable, and which one is least stable? (1) is the most stable of them, while (2) is the least stable.

(1)
Material: SrLa3C
Method: DFT, GGA-PBE
State: optimized geometry

Cell and atoms, written as CIF:
```
data_SrLa3C
_chemical_formula_sum 'Sr1 La3 C1'
_cell_length_a 5.457
_cell_length_b 5.457
_cell_length_c 5.457
_cell_angle_alpha 90.00
_cell_angle_beta 90.00
_cell_angle_gamma 90.00
_symmetry_space_group_name_H-M 'P m -3 m'
_symmetry_Int_Tables_number 221
_symmetry_space_group_name_Hall '-P 4 2 3'
loop_
_atom_site_label
_atom_site_type_symbol
_atom_site_fract_x
_atom_site_fract_y
_atom_site_fract_z
_atom_site_occupancy
Sr1 Sr 0.000 0.000 0.000 1
La1 La 0.000 0.500 0.500 1
C1 C 0.500 0.500 0.500 1
```

Results
crystal system	cubic
calculated volume	162.5	Å³/cell

(2)
Material: SrLa3C
Method: DFT, GGA-PBE
State: optimized geometry

Cell and atoms, written as CIF:
```
data_SrLa3C
_chemical_formula_sum 'Sr1 La3 C1'
_cell_length_a 5.726
_cell_length_b 5.726
_cell_length_c 5.726
_cell_angle_alpha 90.00
_cell_angle_beta 90.00
_cell_angle_gamma 90.00
_symmetry_space_group_name_H-M 'P m -3 m'
_symmetry_Int_Tables_number 221
_symmetry_space_group_name_Hall '-P 4 2 3'
loop_
_atom_site_label
_atom_site_type_symbol
_atom_site_fract_x
_atom_site_fract_y
_atom_site_fract_z
_atom_site_occupancy
Sr1 Sr 0.000 0.000 0.000 1
La1 La 0.000 0.000 0.500 1
C1 C 0.500 0.500 0.500 1
```

Results
crystal system	cubic
calculated volume	187.8	Å³/cell

Which one is most stable, and which one is least stable? (1) is the most stable of them, while (2) is the least stable.

(1)
Material: LaTaC3
Method: DFT, GGA-PBE
State: optimized geometry

Cell and atoms, written as CIF:
```
data_LaTaC3
_chemical_formula_sum 'La1 Ta1 C3'
_cell_length_a 4.223
_cell_length_b 4.223
_cell_length_c 4.223
_cell_angle_alpha 90.00
_cell_angle_beta 90.00
_cell_angle_gamma 90.00
_symmetry_space_group_name_H-M 'P m -3 m'
_symmetry_Int_Tables_number 221
_symmetry_space_group_name_Hall '-P 4 2 3'
loop_
_atom_site_label
_atom_site_type_symbol
_atom_site_fract_x
_atom_site_fract_y
_atom_site_fract_z
_atom_site_occupancy
La1 La 0.000 0.000 0.000 1
Ta1 Ta 0.500 0.500 0.500 1
C1 C 0.000 0.500 0.500 1
```

Results
crystal system	cubic
calculated volume	75.3	Å³/cell

(2)
Material: LaTaC3
Method: DFT, GGA-PBE
State: optimized geometry

Cell and atoms, written as CIF:
```
data_LaTaC3
_chemical_formula_sum 'La1 Ta1 C3'
_cell_length_a 4.216
_cell_length_b 4.216
_cell_length_c 4.216
_cell_angle_alpha 90.00
_cell_angle_beta 90.00
_cell_angle_gamma 90.00
_symmetry_space_group_name_H-M 'P m -3 m'
_symmetry_Int_Tables_number 221
_symmetry_space_group_name_Hall '-P 4 2 3'
loop_
_atom_site_label
_atom_site_type_symbol
_atom_site_fract_x
_atom_site_fract_y
_atom_site_fract_z
_atom_site_occupancy
La1 La 0.000 0.000 0.000 1
Ta1 Ta 0.500 0.500 0.500 1
C1 C 0.000 0.000 0.500 1
```

Results
crystal system	cubic
calculated volume	74.9	Å³/cell

Which one is most stable, and which one is least stable? (1) is the most stable of them, while (2) is the least stable.

(1)
Material: LaTb2C
Method: DFT, GGA-PBE
State: optimized geometry

Cell and atoms, written as CIF:
```
data_LaTb2C
_chemical_formula_sum 'La3 Tb6 C3'
_cell_length_a 3.5486
_cell_length_b 3.5486
_cell_length_c 30.1040
_cell_angle_alpha 90.00
_cell_angle_beta 90.00
_cell_angle_gamma 120.00
_symmetry_space_group_name_H-M 'R -3 m'
_symmetry_Int_Tables_number 166
_symmetry_space_group_name_Hall '-R 3 2"'
loop_
_atom_site_label
_atom_site_type_symbol
_atom_site_fract_x
_atom_site_fract_y
_atom_site_fract_z
_atom_site_occupancy
La1 La 0.0000 0.0000 0.0000 1
Tb1 Tb 0.0000 0.0000 0.1213 1
C1 C 0.0000 0.0000 0.5000 1
```

Results
crystal system	trigonal
calculated volume	328.3	Å³/cell

(2)
Material: LaTb2C
Method: DFT, GGA-PBE
State: optimized geometry

Cell and atoms, written as CIF:
```
data_LaTb2C
_chemical_formula_sum 'La1 Tb2 C1'
_cell_length_a 3.6183
_cell_length_b 3.6183
_cell_length_c 9.4155
_cell_angle_alpha 90.00
_cell_angle_beta 90.00
_cell_angle_gamma 120.00
_symmetry_space_group_name_H-M 'P -3 m 1'
_symmetry_Int_Tables_number 164
_symmetry_space_group_name_Hall '-P 3 2"'
loop_
_atom_site_label
_atom_site_type_symbol
_atom_site_fract_x
_atom_site_fract_y
_atom_site_fract_z
_atom_site_occupancy
La1 La 0.0000 0.0000 0.0000 1
Tb1 Tb 0.3333 0.6667 0.6450 1
C1 C 0.0000 0.0000 0.5000 1
```

Results
crystal system	trigonal
calculated volume	106.8	Å³/cell

Which one is most stable, and which one is least stable? (2) is the most stable of them, while (1) is the least stable.

(1)
Material: LaTbC
Method: DFT, GGA-PBE
State: optimized geometry

Cell and atoms, written as CIF:
```
data_LaTbC
_chemical_formula_sum 'La4 Tb4 C4'
_cell_length_a 7.621
_cell_length_b 6.298
_cell_length_c 6.374
_cell_angle_alpha 90.00
_cell_angle_beta 90.00
_cell_angle_gamma 90.00
_symmetry_space_group_name_H-M 'P b c m'
_symmetry_Int_Tables_number 57
loop_
_symmetry_equiv_pos_as_xyz
'x,y,z'
'-x,-y,-z'
'-x,-y,z+1/2'
'x,y,-z+1/2'
'x,-y+1/2,-z'
'-x,y+1/2,z'
'-x,y+1/2,-z+1/2'
'x,-y+1/2,z+1/2'
loop_
_atom_site_label
_atom_site_type_symbol
_atom_site_fract_x
_atom_site_fract_y
_atom_site_fract_z
_atom_site_occupancy
La1 La 0.158 0.099 0.250 1
Tb1 Tb 0.408 0.561 0.250 1
C1 C 0.370 0.250 0.000 1
```

Results
crystal system	orthorhombic
calculated volume	305.9	Å³/cell

(2)
Material: LaTbC
Method: DFT, GGA-PBE
State: optimized geometry

Cell and atoms, written as CIF:
```
data_LaTbC
_chemical_formula_sum 'La1 Tb1 C1'
_cell_length_a 3.6443
_cell_length_b 3.6443
_cell_length_c 6.6679
_cell_angle_alpha 90.00
_cell_angle_beta 90.00
_cell_angle_gamma 120.00
_symmetry_space_group_name_H-M 'P 3 m 1'
_symmetry_Int_Tables_number 156
loop_
_symmetry_equiv_pos_as_xyz
'x,y,z'
'-y,x-y,z'
'-x+y,-x,z'
'-y,-x,z'
'-x+y,y,z'
'x,x-y,z'
loop_
_atom_site_label
_atom_site_type_symbol
_atom_site_fract_x
_atom_site_fract_y
_atom_site_fract_z
_atom_site_occupancy
La1 La 0.0000 0.0000 0.0000 1
Tb1 Tb 0.3333 0.6667 0.4215 1
C1 C 0.6667 0.3333 0.2291 1
```

Results
crystal system	trigonal
calculated volume	76.7	Å³/cell

(3)
Material: LaTbC
Method: DFT, GGA-PBE
State: optimized geometry

Cell and atoms, written as CIF:
```
data_LaTbC
_chemical_formula_sum 'La2 Tb2 C2'
_cell_length_a 3.651
_cell_length_b 5.150
_cell_length_c 8.225
_cell_angle_alpha 90.00
_cell_angle_beta 90.00
_cell_angle_gamma 90.00
_symmetry_space_group_name_H-M 'P m m n'
_symmetry_Int_Tables_number 59
loop_
_symmetry_equiv_pos_as_xyz
'x,y,z'
'-x,-y,-z'
'-x+1/2,-y+1/2,z'
'x+1/2,y+1/2,-z'
'x+1/2,-y,-z'
'-x+1/2,y,z'
'-x,y+1/2,-z'
'x,-y+1/2,z'
loop_
_atom_site_label
_atom_site_type_symbol
_atom_site_fract_x
_atom_site_fract_y
_atom_site_fract_z
_atom_site_occupancy
La1 La 0.250 0.250 0.170 1
Tb1 Tb 0.250 0.250 0.591 1
C1 C 0.250 0.750 0.620 1
```

Results
crystal system	orthorhombic
calculated volume	154.6	Å³/cell

Which one is most stable, and which one is least stable? (2) is the most stable of them, while (1) is the least stable.